[1]
ScCo2Ir: relaxed, PBE-GGA.

a b c (Å): 4.578 4.578 4.578
angles (deg): 130.58 130.58 72.48
Fractional positions:
Sc: 0.000 0.000 0.000
Co: 0.250 0.750 0.500
Co: 0.750 0.250 0.500
Ir: 0.500 0.500 0.000

## Properties
M_tot ... 0.00 μB/cell
DFT formation energy ... -0.207 eV/atom

[2]
BaTl2Cu: relaxed, PBE-GGA.

a b c (Å): 4.559 4.888 5.513
angles (deg): 90.00 90.00 90.00
Fractional positions:
Ba: 0.000 0.000 0.000
Tl: 0.000 0.500 0.500
Tl: 0.500 0.000 0.500
Cu: 0.500 0.500 0.000

## Properties
M_tot ... 0.00 μB/cell
DFT formation energy ... 0.044 eV/atom

[3]
SmYNO: relaxed, PBE-GGA.

a b c (Å): 6.368 6.368 6.368
angles (deg): 150.87 150.85 41.68
Fractional positions:
Sm: 0.000 0.000 0.000
Y: 0.743 0.243 0.500
N: 0.156 0.656 0.500
O: 0.400 0.400 0.000

## Properties
ΔE_f (raw) ... -1.8437 eV per atom
M_tot ... 0.01 μB/cell

[4]
TiSI2N: relaxed, PBE-GGA.

a b c (Å): 5.620 5.620 3.744
angles (deg): 90.00 90.00 90.00
Fractional positions:
Ti: 0.000 0.000 0.000
S: 0.500 0.500 0.500
I: 0.000 0.500 0.000
I: 0.500 0.000 0.000
N: 0.000 0.000 0.500

## Properties
Relative energy among the computed polymorphs ... 0.0 kJ/mol of atoms
ΔE_f (raw) ... 0.3002 eV per atom
M_tot ... 0.00 μB/cell

[5]
NdSmNp2S4: relaxed, PBE-GGA.

a b c (Å): 6.869 3.973 6.898
angles (deg): 90.00 109.45 90.00
Fractional positions:
Nd: 0.000 0.000 0.000
Sm: 0.000 0.500 0.500
Np: 0.500 0.000 0.500
Np: 0.500 0.500 0.000
S: 0.261 0.000 0.751
S: 0.263 0.500 0.257
S: 0.737 0.500 0.743
S: 0.739 0.000 0.249

## Properties
ΔE_f (raw) ... -1.7025 eV per atom
M_tot ... 8.59 μB/cell

[6]
Nb4VW3: relaxed, PBE-GGA.

a b c (Å): 3.235 4.572 9.109
angles (deg): 90.00 90.00 90.00
Fractional positions:
Nb: 0.000 0.000 0.000
Nb: 0.000 0.000 0.500
Nb: 0.000 0.500 0.247
Nb: 0.000 0.500 0.753
V: 0.500 0.500 0.000
W: 0.500 0.000 0.247
W: 0.500 0.000 0.753
W: 0.500 0.500 0.500

## Properties
Relative energy among the computed polymorphs ... 0.8 kJ/mol of atoms
M_tot ... 0.00 μB/cell
DFT formation energy ... -0.028 eV/atom

[7]
BaAcPr: relaxed, PBE-GGA.

a b c (Å): 9.150 9.150 9.150
angles (deg): 154.89 154.89 35.81
Fractional positions:
Ba: 0.000 0.000 0.000
Ac: 0.316 0.316 0.000
Pr: 0.674 0.674 0.000

## Properties
Relative energy among the computed polymorphs ... 2.5 kJ/mol of atoms
M_tot ... 0.00 μB/cell
DFT formation energy ... 0.086 eV/atom

[8]
MnCd2S: relaxed, PBE-GGA.

a b c (Å): 6.387 6.387 6.387
angles (deg): 99.46 99.46 132.17
Fractional positions:
Mn: 0.000 0.000 0.000
Mn: 0.750 0.250 0.500
Cd: 0.173 0.625 0.048
Cd: 0.375 0.423 0.548
Cd: 0.577 0.125 0.952
Cd: 0.875 0.827 0.452
S: 0.250 0.750 0.500
S: 0.500 0.500 0.000

## Properties
ΔE_f (raw) ... 0.1226 eV per atom
M_tot ... 9.75 μB/cell

[9]
BeAs2PbBr: relaxed, PBE-GGA.

a b c (Å): 4.461 4.461 5.887
angles (deg): 90.00 90.00 90.00
Fractional positions:
Be: 0.000 0.000 0.000
As: 0.000 0.500 0.000
As: 0.500 0.000 0.000
Pb: 0.500 0.500 0.500
Br: 0.000 0.000 0.500

## Properties
Relative energy among the computed polymorphs ... 0.0 kJ/mol of atoms
ΔE_f (raw) ... 0.1651 eV per atom
M_tot ... 0.00 μB/cell

[10]
CaSmHoMg: relaxed, PBE-GGA.

a b c (Å): 5.605 5.605 5.605
angles (deg): 60.00 60.00 60.00
Fractional positions:
Ca: 0.000 0.000 0.000
Sm: 0.750 0.750 0.750
Ho: 0.250 0.250 0.250
Mg: 0.500 0.500 0.500

## Properties
Relative energy among the computed polymorphs ... 7.9 kJ/mol of atoms
M_tot ... 0.00 μB/cell
DFT formation energy ... 0.072 eV/atom

[11]
Ba16Ag5Pt3: relaxed, PBE-GGA.

a b c (Å): 9.522 9.522 15.397
angles (deg): 90.03 90.03 59.37
Fractional positions:
Ba: 0.000 0.000 0.000
Ba: 0.005 0.472 0.994
Ba: 0.152 0.152 0.728
Ba: 0.168 0.672 0.734
Ba: 0.313 0.313 0.235
Ba: 0.317 0.841 0.233
Ba: 0.472 0.005 0.994
Ba: 0.483 0.483 0.988
Ba: 0.485 0.974 0.497
Ba: 0.500 0.500 0.501
Ba: 0.650 0.650 0.729
Ba: 0.672 0.168 0.734
Ba: 0.830 0.830 0.245
Ba: 0.841 0.317 0.233
Ba: 0.974 0.485 0.497
Ba: 0.999 0.999 0.505
Ag: 0.158 0.655 0.117
Ag: 0.323 0.323 0.853
Ag: 0.655 0.158 0.117
Ag: 0.657 0.657 0.357
Ag: 0.824 0.824 0.617
Pt: 0.158 0.158 0.114
Pt: 0.326 0.824 0.616
Pt: 0.824 0.326 0.616

## Properties
M_tot ... 0.00 μB/cell
DFT formation energy ... -0.334 eV/atom

[12]
Pm2AgAu: relaxed, PBE-GGA.

a b c (Å): 3.704 3.704 7.439
angles (deg): 90.00 90.00 90.00
Fractional positions:
Pm: 0.000 0.000 0.244
Pm: 0.000 0.000 0.756
Ag: 0.500 0.500 0.500
Au: 0.500 0.500 0.000

## Properties
Relative energy among the computed polymorphs ... 0.0 kJ/mol of atoms
M_tot ... 0.00 μB/cell
DFT formation energy ... -0.535 eV/atom

[13]
TaIrBr: relaxed, PBE-GGA.

a b c (Å): 3.054 3.054 6.913
angles (deg): 90.00 90.00 120.00
Fractional positions:
Ta: 0.000 0.000 0.000
Ir: 0.333 0.667 0.707
Br: 0.667 0.333 0.294

## Properties
Relative energy among the computed polymorphs ... 6.7 kJ/mol of atoms
ΔE_f (raw) ... 0.0825 eV per atom
M_tot ... 0.00 μB/cell

[14]
PmHo2WN4: relaxed, PBE-GGA.

a b c (Å): 6.142 6.142 11.887
angles (deg): 90.00 90.00 147.85
Fractional positions:
Pm: 0.097 0.903 0.750
Pm: 0.903 0.097 0.250
Ho: 0.370 0.630 0.537
Ho: 0.370 0.630 0.963
Ho: 0.630 0.370 0.037
Ho: 0.630 0.370 0.463
W: 0.163 0.837 0.250
W: 0.837 0.163 0.750
N: 0.000 0.000 0.000
N: 0.000 0.000 0.500
N: 0.262 0.738 0.122
N: 0.262 0.738 0.378
N: 0.440 0.560 0.750
N: 0.560 0.440 0.250
N: 0.738 0.262 0.622
N: 0.738 0.262 0.878

## Properties
ΔE_f (raw) ... -1.1292 eV per atom
M_tot ... 0.00 μB/cell

[15]
Tb5CdCu2: relaxed, PBE-GGA.

a b c (Å): 8.564 8.564 8.564
angles (deg): 124.60 124.60 82.20
Fractional positions:
Tb: 0.000 0.000 0.000
Tb: 0.015 0.515 0.813
Tb: 0.202 0.015 0.500
Tb: 0.298 0.798 0.813
Tb: 0.485 0.298 0.500
Tb: 0.500 0.500 0.000
Tb: 0.515 0.702 0.500
Tb: 0.702 0.202 0.187
Tb: 0.798 0.985 0.500
Tb: 0.985 0.485 0.187
Cd: 0.250 0.250 0.000
Cd: 0.750 0.750 0.000
Cu: 0.128 0.372 0.500
Cu: 0.372 0.872 0.244
Cu: 0.628 0.128 0.756
Cu: 0.872 0.628 0.500

## Properties
M_tot ... 0.00 μB/cell
DFT formation energy ... -0.170 eV/atom

[16]
CSe2SBr: relaxed, PBE-GGA.

a b c (Å): 4.469 4.469 4.557
angles (deg): 90.00 90.00 90.00
Fractional positions:
C: 0.000 0.000 0.000
Se: 0.000 0.500 0.000
Se: 0.500 0.000 0.000
S: 0.500 0.500 0.500
Br: 0.000 0.000 0.500

## Properties
Relative energy among the computed polymorphs ... 0.0 kJ/mol of atoms
ΔE_f (raw) ... 1.4260 eV per atom
M_tot ... 0.00 μB/cell

[17]
SrAgMoBr2: relaxed, PBE-GGA.

a b c (Å): 5.377 5.377 6.124
angles (deg): 90.00 90.00 90.00
Fractional positions:
Sr: 0.000 0.000 0.000
Ag: 0.000 0.000 0.500
Mo: 0.500 0.500 0.000
Br: 0.000 0.500 0.500
Br: 0.500 0.000 0.500

## Properties
ΔE_f (raw) ... 0.6274 eV per atom
M_tot ... 5.27 μB/cell

[18]
Hf4Ti2Bi5: relaxed, PBE-GGA.

a b c (Å): 11.233 11.233 8.947
angles (deg): 101.80 101.80 16.63
Fractional positions:
Hf: 0.003 0.003 0.211
Hf: 0.282 0.282 0.896
Hf: 0.718 0.718 0.104
Hf: 0.997 0.997 0.789
Ti: 0.426 0.426 0.968
Ti: 0.574 0.574 0.032
Bi: 0.142 0.142 0.822
Bi: 0.147 0.147 0.309
Bi: 0.500 0.500 0.500
Bi: 0.853 0.853 0.691
Bi: 0.858 0.858 0.178

## Properties
M_tot ... 0.00 μB/cell
DFT formation energy ... -0.006 eV/atom

[19]
PmPrHo2Mg: relaxed, PBE-GGA.

a b c (Å): 6.130 6.130 11.206
angles (deg): 90.20 90.20 47.83
Fractional positions:
Pm: 0.247 0.247 0.244
Pm: 0.753 0.753 0.756
Pr: 0.453 0.453 0.652
Pr: 0.547 0.547 0.348
Ho: 0.155 0.155 0.551
Ho: 0.352 0.352 0.953
Ho: 0.648 0.648 0.047
Ho: 0.845 0.845 0.449
Mg: 0.054 0.054 0.861
Mg: 0.946 0.946 0.139

## Properties
M_tot ... 0.00 μB/cell
DFT formation energy ... 0.028 eV/atom

[20]
CaDyErMg: relaxed, PBE-GGA.

a b c (Å): 5.556 5.556 5.556
angles (deg): 60.00 60.00 60.00
Fractional positions:
Ca: 0.000 0.000 0.000
Dy: 0.250 0.250 0.250
Er: 0.750 0.750 0.750
Mg: 0.500 0.500 0.500

## Properties
M_tot ... 0.00 μB/cell
DFT formation energy ... 0.096 eV/atom

[21]
CsZnAg: relaxed, PBE-GGA.

a b c (Å): 4.698 4.698 5.528
angles (deg): 90.00 90.00 120.00
Fractional positions:
Cs: 0.000 0.000 0.000
Zn: 0.333 0.667 0.500
Ag: 0.667 0.333 0.500

## Properties
Relative energy among the computed polymorphs ... 5.4 kJ/mol of atoms
M_tot ... 0.00 μB/cell
DFT formation energy ... 0.066 eV/atom

[22]
Ba2Ag2Br7: relaxed, PBE-GGA.

a b c (Å): 8.434 8.434 7.336
angles (deg): 94.15 94.15 114.53
Fractional positions:
Ba: 0.184 0.816 0.000
Ba: 0.816 0.184 0.000
Ag: 0.239 0.239 0.625
Ag: 0.761 0.761 0.375
Br: 0.061 0.061 0.271
Br: 0.094 0.449 0.759
Br: 0.449 0.094 0.759
Br: 0.500 0.500 0.500
Br: 0.551 0.906 0.241
Br: 0.906 0.551 0.241
Br: 0.939 0.939 0.729

## Properties
ΔE_f (raw) ... -1.2455 eV per atom
M_tot ... 0.00 μB/cell

[23]
Hg2PS2: relaxed, PBE-GGA.

a b c (Å): 6.976 6.976 4.640
angles (deg): 90.00 90.00 90.00
Fractional positions:
Hg: 0.138 0.362 0.000
Hg: 0.362 0.862 0.000
Hg: 0.638 0.138 0.000
Hg: 0.862 0.638 0.000
P: 0.000 0.000 0.500
P: 0.500 0.500 0.500
S: 0.233 0.733 0.500
S: 0.267 0.233 0.500
S: 0.733 0.767 0.500
S: 0.767 0.267 0.500

## Properties
Relative energy among the computed polymorphs ... 0.0 kJ/mol of atoms
ΔE_f (raw) ... 0.3592 eV per atom
M_tot ... 0.00 μB/cell

[24]
ZrAgAu2: relaxed, PBE-GGA.

a b c (Å): 6.111 6.111 6.111
angles (deg): 102.61 102.61 124.29
Fractional positions:
Zr: 0.000 0.000 0.000
Zr: 0.750 0.250 0.500
Ag: 0.250 0.750 0.500
Ag: 0.500 0.500 0.000
Au: 0.125 0.625 0.000
Au: 0.375 0.375 0.500
Au: 0.625 0.125 0.000
Au: 0.875 0.875 0.500

## Properties
Relative energy among the computed polymorphs ... 44.7 kJ/mol of atoms
M_tot ... 0.00 μB/cell
DFT formation energy ... 0.068 eV/atom

[25]
SrAs2Se: relaxed, PBE-GGA.

a b c (Å): 4.182 4.182 6.400
angles (deg): 90.00 90.00 90.00
Fractional positions:
Sr: 0.000 0.000 0.000
As: 0.000 0.000 0.502
As: 0.500 0.500 0.560
Se: 0.500 0.500 0.949

## Properties
ΔE_f (raw) ... -0.6642 eV per atom
M_tot ... 0.00 μB/cell

no.,V (Å³/f.u.)
1,54.1
2,122.9
3,61.1
4,118.2
5,177.5
6,134.8
7,137.8
8,88.3
9,117.2
10,124.5
11,1201.2
12,102.1
13,55.8
14,119.3
15,204.6
16,91.0
17,177.1
18,316.1
19,156.0
20,121.3
21,105.6
22,470.4
23,112.9
24,83.3
25,111.9